[1]
The following is a DFT calculation (PBE) of a relaxed AcTl2In crystal.

Cell lengths 4.9861, 4.9861, 4.9756 Å; angles 90.00, 90.00, 90.00 degrees
Last column: nearest neighbours and their distance in Å.
Space group P4/mmm (No. 123)
Asymmetric unit:
Ac (0.0000, 0.0000, 0.0000) [1 per cell]  8 Tl 3.52, 4 In 3.53
Tl (0.0000, 0.5000, 0.5000) [2 per cell]  4 Ac 3.52, 4 In 3.52, 4 Tl 3.53
In (0.5000, 0.5000, 0.0000) [1 per cell]  8 Tl 3.52, 4 Ac 3.53

Results
As for the crystal system: tetragonal. Its density of states at the Fermi level is 0.35 states/eV/atom. For the electronic total energy, the calculation gives -3.233 eV/atom. Its formation energy is -0.338 eV/atom.

---

[2]
The following is a DFT calculation (PBE) of a relaxed Ac3Tl2In3 crystal.

Cell lengths 4.9907, 12.3970, 16.9053 Å; angles 90.00, 90.00, 90.00 degrees
Last column: nearest neighbours and their distance in Å.
Space group Cmcm (No. 63)
Asymmetric unit:
Ac (0.0000, 0.0713, 0.1116) [8 per cell]  6 In 3.48-3.63, 3 Tl 3.57-3.65
Ac (0.0000, 0.3480, 0.2500) [4 per cell]  5 In 3.39-3.76, 4 Tl 3.60
Tl (0.0000, 0.2230, 0.6057) [8 per cell]  4 In 3.04-3.15
In (0.0000, 0.3784, 0.7500) [4 per cell]  2 Tl 3.11, 5 Ac 3.39-3.48
In (0.0000, 0.3830, 0.0387) [8 per cell]  3 Tl 3.04-3.15, 1 In 3.18

Results
The energy above the lowest structure with this stoichiometry comes out at 0.0 meV per atom. As for the crystal system: orthorhombic. Its density of states at the Fermi level is 0.84 states/eV/atom. For the electronic total energy, the calculation gives -3.554 eV/atom. Its formation energy is -0.395 eV/atom.